Record 1
A geometry-optimized NbZnGeSe structure, computed with PBE-GGA.

The calculation puts the energy above the most stable polymorph in this dataset at 0.51 eV per formula unit.

It has space group P1 (No. 1), with a = 3.5546 Å, b = 4.9258 Å, c = 5.2118 Å, α = 66.28°, β = 70.44° and γ = 68.96°. The asymmetric unit holds Nb at (0.0000, 0.0000, 0.0000), Zn at (0.0167, 0.4763, 0.4850), Ge at (0.7098, 0.0018, 0.5726) and Se at (0.2973, 0.4188, 0.9886).

=====

Record 2
A geometry-optimized NbZnGeSe structure, computed with PBE-GGA.

The calculation puts the energy above the most stable polymorph in this dataset at 0.47 eV per formula unit.

It has space group Pm (No. 6), with a = 3.6501 Å, b = 3.6263 Å, c = 5.5651 Å, α = 90.00°, β = 93.06° and γ = 90.00°. The asymmetric unit holds Nb at (0.0000, 0.0000, 0.0000), Zn at (0.5657, 0.5000, 0.6509), Ge at (0.5124, 0.5000, 0.1037) and Se at (0.0720, 0.0000, 0.5079).

=====

Record 3
A geometry-optimized NbZnGeSe structure, computed with PBE-GGA.

The calculation puts the energy above the most stable polymorph in this dataset at 0.35 eV per formula unit.

It has space group Amm2 (No. 38), with a = 3.9388 Å, b = 3.4998 Å, c = 10.5867 Å, α = 90.00°, β = 90.00° and γ = 90.00°. The asymmetric unit holds Nb at (0.0000, 0.0000, 0.0000), Zn at (0.5000, 0.0000, 0.8100), Ge at (0.5000, 0.0000, 0.5710) and Se at (0.0000, 0.0000, 0.3035).

=====

Record 4
A geometry-optimized NbZnGeSe structure, computed with PBE-GGA.

The calculation puts the energy above the most stable polymorph in this dataset at 0.51 eV per formula unit.

It has space group Pm (No. 6), with a = 3.1568 Å, b = 3.1571 Å, c = 8.2143 Å, α = 90.00°, β = 90.08° and γ = 90.00°. The asymmetric unit holds Nb at (0.0000, 0.0000, 0.0000), Zn at (0.5071, 0.5000, 0.5111), Ge at (0.5012, 0.5000, 0.2124) and Se at (0.4998, 0.5000, 0.8159).

=====

Record 5
A geometry-optimized NbZnGeSe structure, computed with PBE-GGA.

The calculation puts the energy above the most stable polymorph in this dataset at 0.29 eV per formula unit.

It has space group Amm2 (No. 38), with a = 3.4284 Å, b = 3.7617 Å, c = 11.9260 Å, α = 90.00°, β = 90.00° and γ = 90.00°. The asymmetric unit holds Nb at (0.0000, 0.0000, 0.0000), Zn at (0.0000, 0.0000, 0.2306), Ge at (0.5000, 0.0000, 0.5582) and Se at (0.5000, 0.0000, 0.8296).

=====

Record 6
A geometry-optimized NbZnGeSe structure, computed with PBE-GGA.

The calculation puts the energy above the most stable polymorph in this dataset at 0.22 eV per formula unit.

It has space group I4mm (No. 107), with a = 3.2566 Å, b = 3.2566 Å, c = 14.2674 Å, α = 90.00°, β = 90.00° and γ = 90.00°. The asymmetric unit holds Nb at (0.0000, 0.0000, 0.0000), Zn at (0.0000, 0.0000, 0.2115), Ge at (0.0000, 0.0000, 0.3819) and Se at (0.0000, 0.0000, 0.6020).

=====

Total magnetic moment for the records above, in order: 0.00 0.00 0.00 0.00 0.00 0.00 μB per cell
E for the records above, in order: -4.990 -5.001 -5.031 -4.989 -5.045 -5.063 eV per atom
Density of states at the Fermi level for the records above, in order: 0.64 0.56 0.52 0.82 0.57 0.54 states/eV/atom